VASP calculation (PBE-GGA) on crystalline Be2RePb at its relaxed geometry.

a b c (Å): 3.1921 3.1921 5.6782
angles (deg): 90.00 90.00 90.00
Last column: nearest neighbours and their distance in Å.
Sites, in units of the cell vectors:
Be 0.0000 0.0000 0.1770  1 Be 2.01
Be 0.0000 0.0000 0.8230  1 Be 2.01
Re 0.5000 0.5000 0.0000  8 Be 2.47
Pb 0.5000 0.5000 0.5000  2 Re 2.84, 8 Be 2.91

Values from the calculation:
* calculated formation energy: 0.36 eV per atom
* ρ: 11.81 g/cm3